TiGaAg | PBE | relaxed

Properties
* total moment: 0.169 μB/atom
* calculated total energy: -28.8 eV per cell

Lattice parameters (Å, degrees): 2.9539 4.5305 7.5804 90.00 97.87 90.00
With the nearest neighbours (Å) after each atom.
Space group P2_1/m (No. 11)
Unique sites:
Ti 0.1265 0.2500 0.1067 (multiplicity 2)  5 Ga 2.66-2.89, 4 Ti 2.82-2.95, 2 Ag 2.87-2.92
Ga 0.3770 0.2500 0.7833 (multiplicity 2)  5 Ti 2.66-2.89, 3 Ag 2.81-2.94, 2 Ga 2.95
Ag 0.2712 0.7500 0.5615 (multiplicity 2)  4 Ga 2.81-3.02, 6 Ag 2.86-2.95, 2 Ti 2.87-2.92